# 1
Material: DyMgSi
Method: DFT, PBE
State: optimized geometry

## Properties
M_tot in μB per formula unit: 0.00
Final energy in eV per atom: -3.70
Crystal system: cubic

```
data_DyMgSi
_space_group_name_H-M_alt 'F -4 3 m'
_space_group_IT_number 216
_space_group_name_Hall 'F -4 2 3'
_cell_length_a 6.7741
_cell_length_b 6.7741
_cell_length_c 6.7741
_cell_angle_alpha 90.00
_cell_angle_beta 90.00
_cell_angle_gamma 90.00
loop_
_atom_site_label
_atom_site_fract_x
_atom_site_fract_y
_atom_site_fract_z
Dy1 0.0000 0.0000 0.0000
Mg1 0.2500 0.2500 0.7500
Si1 0.2500 0.2500 0.2500
```

***

# 2
Material: Dy2YMg4Si4
Method: DFT, PBE
State: optimized geometry

## Properties
M_tot in μB per formula unit: 0.00
Final energy in eV per atom: -4.33
Crystal system: orthorhombic

```
data_Dy2YMg4Si4
_space_group_name_H-M_alt 'I m m m'
_space_group_IT_number 71
_space_group_name_Hall '-I 2 2'
_cell_length_a 4.0604
_cell_length_b 4.3172
_cell_length_c 26.6465
_cell_angle_alpha 90.00
_cell_angle_beta 90.00
_cell_angle_gamma 90.00
loop_
_atom_site_label
_atom_site_fract_x
_atom_site_fract_y
_atom_site_fract_z
Dy1 0.0000 0.0000 0.1406
Y1 0.0000 0.5000 0.0000
Mg1 0.0000 0.0000 0.4079
Mg2 0.0000 0.5000 0.2517
Si1 0.0000 0.0000 0.3140
Si2 0.0000 0.5000 0.4562
```

***

# 3
Material: SmDyMg
Method: DFT, PBE
State: optimized geometry

## Properties
M_tot in μB per formula unit: 0.51
Crystal system: cubic
Polymorph energy (0 for the lowest one) in eV per formula unit: 0.000

```
data_SmDyMg
_space_group_name_H-M_alt 'F -4 3 m'
_space_group_IT_number 216
_space_group_name_Hall 'F -4 2 3'
_cell_length_a 7.4531
_cell_length_b 7.4531
_cell_length_c 7.4531
_cell_angle_alpha 90.00
_cell_angle_beta 90.00
_cell_angle_gamma 90.00
loop_
_atom_site_label
_atom_site_fract_x
_atom_site_fract_y
_atom_site_fract_z
Sm1 0.0000 0.0000 0.0000
Dy1 0.0000 0.0000 0.5000
Mg1 0.2500 0.2500 0.7500
```

***

# 4
Material: SmDyMg6
Method: DFT, PBE
State: optimized geometry

## Properties
M_tot in μB per formula unit: 0.01
Final energy in eV per atom: -2.41
Crystal system: tetragonal

```
data_SmDyMg6
_space_group_name_H-M_alt 'P 4/m m m'
_space_group_IT_number 123
_space_group_name_Hall '-P 4 2'
_cell_length_a 5.1797
_cell_length_b 5.1797
_cell_length_c 7.3546
_cell_angle_alpha 90.00
_cell_angle_beta 90.00
_cell_angle_gamma 90.00
loop_
_atom_site_label
_atom_site_fract_x
_atom_site_fract_y
_atom_site_fract_z
Sm1 0.0000 0.0000 0.0000
Dy1 0.5000 0.5000 0.5000
Mg1 0.0000 0.0000 0.5000
Mg2 0.0000 0.5000 0.2547
Mg3 0.5000 0.5000 0.0000
```

***

# 5
Material: SmDyMg2Tl2
Method: DFT, PBE
State: optimized geometry

## Properties
M_tot in μB per formula unit: 0.00
Final energy in eV per atom: -3.16
Crystal system: trigonal

```
data_SmDyMg2Tl2
_space_group_name_H-M_alt 'P 3 m 1'
_space_group_IT_number 156
_space_group_name_Hall 'P 3 -2"'
_cell_length_a 4.9024
_cell_length_b 4.9024
_cell_length_c 7.4490
_cell_angle_alpha 90.00
_cell_angle_beta 90.00
_cell_angle_gamma 120.00
loop_
_atom_site_label
_atom_site_fract_x
_atom_site_fract_y
_atom_site_fract_z
Sm1 0.0000 0.0000 0.0000
Dy1 0.0000 0.0000 0.4995
Mg1 0.3333 0.6667 0.2306
Mg2 0.6667 0.3333 0.7218
Tl1 0.3333 0.6667 0.7782
Tl2 0.6667 0.3333 0.2864
```

***

# 6
Material: DyMgSn
Method: DFT, PBE
State: optimized geometry

## Properties
M_tot in μB per formula unit: 0.00
Final energy in eV per atom: -3.96
Crystal system: tetragonal

```
data_DyMgSn
_space_group_name_H-M_alt 'I 4/m m m'
_space_group_IT_number 139
_space_group_name_Hall '-I 4 2'
_cell_length_a 4.3901
_cell_length_b 4.3901
_cell_length_c 15.8811
_cell_angle_alpha 90.00
_cell_angle_beta 90.00
_cell_angle_gamma 90.00
loop_
_atom_site_label
_atom_site_fract_x
_atom_site_fract_y
_atom_site_fract_z
Dy1 0.0000 0.0000 0.1670
Mg1 0.0000 0.5000 0.0000
Sn1 0.0000 0.0000 0.3640
```